The following is a PBE calculation of a geometry-optimized LaCo5Si2 structure, from Alexandria.

Computed properties:
DOS(E_F)   9.575 states/eV/f.u.

Cell lengths 5.9462, 5.9462, 5.9462 Å; angles 144.16, 113.77, 77.66 degrees
Sites, in units of the cell vectors:
La 0.0000 0.0000 0.0000
Co 0.1676 0.3549 0.8127
Co 0.4578 0.6451 0.8127
Co 0.5000 0.0000 0.5000
Co 0.5422 0.3549 0.1873
Co 0.8324 0.6451 0.1873
Si 0.2624 0.7624 0.5000
Si 0.7376 0.2376 0.5000

---

The following is a PBE calculation of a geometry-optimized La4CoSi structure, from Alexandria.

Computed properties:
Energy relative to the lowest polymorph listed for this composition   0.9932 eV/atom
DOS(E_F)   10.337 states/eV/f.u.

Cell lengths 6.2678, 6.2678, 6.2678 Å; angles 60.00, 60.00, 60.00 degrees
Sites, in units of the cell vectors:
La 0.1240 0.1240 0.1240
La 0.1240 0.1240 0.6279
La 0.1240 0.6279 0.1240
La 0.6279 0.1240 0.1240
Co 0.5000 0.5000 0.5000
Si 0.7500 0.7500 0.7500

---

The following is a PBE calculation of a geometry-optimized LaCoSi2 structure, from Alexandria.

Computed properties:
DOS(E_F)   4.314 states/eV/f.u.

Cell lengths 3.1843, 3.1843, 6.7751 Å; angles 90.00, 90.00, 90.00 degrees
Sites, in units of the cell vectors:
La 0.0000 0.0000 0.0000
Co 0.5000 0.5000 0.6563
Si 0.0000 0.0000 0.5300
Si 0.5000 0.5000 0.3195

---

The following is a PBE calculation of a geometry-optimized LaCoSi2 structure, from Alexandria.

Computed properties:
DOS(E_F)   2.820 states/eV/f.u.

Cell lengths 5.5649, 5.5649, 5.5649 Å; angles 149.95, 120.95, 67.67 degrees
Sites, in units of the cell vectors:
La 0.0000 0.0000 0.0000
Co 0.5000 0.5000 0.0000
Si 0.3008 0.8008 0.5000
Si 0.6992 0.1992 0.5000

---

The following is a PBE calculation of a geometry-optimized La3Co2Si2 structure, from Alexandria.

Computed properties:
DOS(E_F)   5.869 states/eV/f.u.

Cell lengths 5.6961, 8.0359, 12.8976 Å; angles 90.00, 90.00, 90.00 degrees
Sites, in units of the cell vectors:
La 0.1568 0.1005 0.0959
La 0.1568 0.1005 0.4041
La 0.1568 0.3995 0.5959
La 0.1568 0.3995 0.9041
La 0.3358 0.7459 0.7500
La 0.3358 0.7541 0.2500
La 0.6642 0.2459 0.7500
La 0.6642 0.2541 0.2500
La 0.8432 0.6005 0.0959
La 0.8432 0.6005 0.4041
La 0.8432 0.8995 0.5959
La 0.8432 0.8995 0.9041
Co 0.3857 0.0366 0.5871
Co 0.3857 0.0366 0.9129
Co 0.3857 0.4634 0.0871
Co 0.3857 0.4634 0.4129
Co 0.6143 0.5366 0.5871
Co 0.6143 0.5366 0.9129
Co 0.6143 0.9634 0.0871
Co 0.6143 0.9634 0.4129
Si 0.1819 0.0992 0.7500
Si 0.1819 0.4008 0.2500
Si 0.3777 0.7500 0.0000
Si 0.3777 0.7500 0.5000
Si 0.6223 0.2500 0.0000
Si 0.6223 0.2500 0.5000
Si 0.8181 0.5992 0.7500
Si 0.8181 0.9008 0.2500

---

The following is a PBE calculation of a geometry-optimized La2CoSi structure, from Alexandria.

Computed properties:
DOS(E_F)   5.660 states/eV/f.u.

Cell lengths 4.3726, 4.1799, 5.7135 Å; angles 90.00, 111.65, 90.00 degrees
Sites, in units of the cell vectors:
La 0.0000 0.0000 0.0000
La 0.2805 0.5000 0.5672
Co 0.5507 0.5000 0.1802
Si 0.6929 0.0000 0.3935

---

The following is a PBE calculation of a geometry-optimized LaCoSi2 structure, from Alexandria.

Computed properties:
DOS(E_F)   2.271 states/eV/f.u.

Cell lengths 8.7168, 8.7168, 4.2002 Å; angles 90.00, 90.00, 153.16 degrees
Sites, in units of the cell vectors:
La 0.1433 0.8567 0.0000
La 0.8567 0.1433 0.0000
Co 0.4283 0.5717 0.5000
Co 0.5717 0.4283 0.5000
Si 0.0000 0.0000 0.5000
Si 0.2914 0.7086 0.5000
Si 0.5000 0.5000 0.0000
Si 0.7086 0.2914 0.5000

---

The following is a PBE calculation of a geometry-optimized LaCo5Si3 structure, from Alexandria.

Computed properties:
DOS(E_F)   8.184 states/eV/f.u.

Cell lengths 6.1803, 6.1803, 11.3808 Å; angles 90.00, 90.00, 144.67 degrees
Sites, in units of the cell vectors:
La 0.1728 0.8272 0.7500
La 0.8272 0.1728 0.2500
Co 0.0000 0.0000 0.0000
Co 0.0000 0.0000 0.5000
Co 0.1929 0.8071 0.0645
Co 0.1929 0.8071 0.4355
Co 0.4513 0.5487 0.6460
Co 0.4513 0.5487 0.8540
Co 0.5487 0.4513 0.1460
Co 0.5487 0.4513 0.3540
Co 0.8071 0.1929 0.5645
Co 0.8071 0.1929 0.9355
Si 0.1046 0.8954 0.2500
Si 0.3805 0.6195 0.0371
Si 0.3805 0.6195 0.4629
Si 0.6195 0.3805 0.5371
Si 0.6195 0.3805 0.9629
Si 0.8954 0.1046 0.7500

---

The following is a PBE calculation of a geometry-optimized LaCoSi2 structure, from Alexandria.

Computed properties:
DOS(E_F)   1.331 states/eV/f.u.

Cell lengths 4.4127, 4.4127, 4.0519 Å; angles 90.00, 90.00, 111.75 degrees
Sites, in units of the cell vectors:
La 0.0000 0.0000 0.0000
Co 0.5000 0.5000 0.0000
Si 0.3344 0.6656 0.5000
Si 0.6656 0.3344 0.5000

---

The following is a PBE calculation of a geometry-optimized La3CoSi3 structure, from Alexandria.

Computed properties:
DOS(E_F)   5.249 states/eV/f.u.

Cell lengths 6.1150, 6.1150, 13.9668 Å; angles 107.94, 107.94, 40.26 degrees
Sites, in units of the cell vectors:
La 0.0261 0.0261 0.3918
La 0.1100 0.1100 0.9183
La 0.2483 0.2483 0.2335
La 0.7517 0.7517 0.7665
La 0.8900 0.8900 0.0817
La 0.9739 0.9739 0.6082
Co 0.2684 0.2684 0.6165
Co 0.7316 0.7316 0.3835
Si 0.3103 0.3103 0.4606
Si 0.4066 0.4066 0.9256
Si 0.4491 0.4491 0.7628
Si 0.5509 0.5509 0.2372
Si 0.5934 0.5934 0.0744
Si 0.6897 0.6897 0.5394

---

The following is a PBE calculation of a geometry-optimized La2CoSi structure, from Alexandria.

Computed properties:
DOS(E_F)   4.507 states/eV/f.u.

Cell lengths 6.0180, 4.3537, 8.1566 Å; angles 90.00, 110.75, 90.00 degrees
Sites, in units of the cell vectors:
La 0.2281 0.2500 0.4202
La 0.2287 0.2500 0.9521
La 0.7713 0.7500 0.0479
La 0.7719 0.7500 0.5798
Co 0.4935 0.7500 0.2433
Co 0.5065 0.2500 0.7567
Si 0.3435 0.7500 0.7115
Si 0.6565 0.2500 0.2885

---

The following is a PBE calculation of a geometry-optimized La2CoSi structure, from Alexandria.

Computed properties:
DOS(E_F)   4.192 states/eV/f.u.

Cell lengths 6.3417, 6.3417, 6.3417 Å; angles 103.83, 103.83, 121.45 degrees
Sites, in units of the cell vectors:
La 0.0719 0.6250 0.9469
La 0.3750 0.3219 0.4469
La 0.6781 0.1250 0.0531
La 0.8750 0.9281 0.5531
Co 0.0000 0.0000 0.0000
Co 0.7500 0.2500 0.5000
Si 0.2500 0.7500 0.5000
Si 0.5000 0.5000 0.0000

---

| no. | uncorrected formation energy (eV per formula unit) |
| --- | --- |
| 1 | -2.89 |
| 2 | 4.22 |
| 3 | -0.90 |
| 4 | -0.52 |
| 5 | -3.81 |
| 6 | -1.75 |
| 7 | -2.85 |
| 8 | -4.98 |
| 9 | -2.32 |
| 10 | -4.67 |
| 11 | -1.83 |
| 12 | -0.12 |